# SnPd3O

An optimized crystal structure of SnPd3O (PBE, the Alexandria database).

It has space group Pm-3m (No. 221), with a = 4.960 Å, b = 4.960 Å, c = 4.960 Å, α = 90.00°, β = 90.00° and γ = 90.00°. The asymmetric unit holds Sn at (0.000, 0.000, 0.000), Pd at (0.000, 0.000, 0.500) and O at (0.500, 0.500, 0.500).

The total magnetic moment is 0.0 Bohr magnetons per cell. For the energy, the calculation gives -19.03 eV/cell. As for the density of states at the Fermi level: 1.28 states/eV/f.u. Its energy above the lowest structure with this stoichiometry is 6.09 eV/f.u. The formation energy (no corrections) is 1.10 eV per atom.